The following is a DFT calculation (GGA+U) of an optimized crystal structure of TlNiF3.

Cell lengths 5.0049, 5.0049, 12.9257 Å; angles 90.00, 90.00, 90.00 degrees
Space group I-4m2 (No. 119)
Unique sites:
Tl (0.0000, 0.0000, 0.1216) (multiplicity 4)
Ni (0.0000, 0.0000, 0.5000) (multiplicity 2)
Ni (0.0000, 0.5000, 0.2500) (multiplicity 2)
F (0.0000, 0.2388, 0.3578) (multiplicity 8)
F (0.0000, 0.5000, 0.5408) (multiplicity 4)

Values from the calculation:
crystal system = tetragonal
total magnetic moment = 0.0 Bohr magnetons per cell
excess energy over the best structure of this formula in the dataset = 438.3 meV per atom